# Na3Tl2Pd4

Crystalline Na3Tl2Pd4 at its relaxed geometry (PBE-GGA, Alexandria).

Results
Relative energy among the computed polymorphs, eV/atom: 0.017
Size of the total moment, μB/f.u.: 0.00
Formation energy from the elements, eV/atom: -0.14
Space group: C2/m

Unit cell a=4.4915 b=5.1867 c=9.3784 alpha=83.56 beta=76.15 gamma=64.34
With the nearest neighbours (Å) after each atom.
Fractional coordinates of all 9 atoms:
Na 0.0000 0.0000 0.0000  6 Pd 2.99-3.00, 4 Tl 3.10
Na 0.2986 0.8043 0.5986  3 Pd 2.83-2.94
Pd 0.0207 0.5953 0.3634  2 Pd 2.63-2.69, 2 Tl 2.79, 3 Na 2.83-2.94
Pd 0.7359 0.6185 0.9098  3 Pd 2.69-2.99, 1 Tl 2.80, 3 Na 2.99-3.00
Pd 0.2641 0.3815 0.0902  3 Pd 2.69-2.99, 1 Tl 2.80, 3 Na 2.99-3.00
Tl 0.5094 0.7751 0.2061  6 Pd 2.79-3.10, 2 Na 3.10
Tl 0.4906 0.2249 0.7939  6 Pd 2.79-3.10, 2 Na 3.10
Na 0.7014 0.1957 0.4014  3 Pd 2.83-2.94
Pd 0.9793 0.4047 0.6366  2 Pd 2.63-2.69, 2 Tl 2.79, 3 Na 2.83-2.94

***

# Na16Tl12Pd

Crystalline Na16Tl12Pd at its relaxed geometry (PBE-GGA, Alexandria).

Results
Size of the total moment, μB/f.u.: 0.00
Formation energy from the elements, eV/atom: -0.10
Space group: Cm

Unit cell a=10.2211 b=10.2211 c=10.2723 alpha=109.04 beta=109.04 gamma=108.36
With the nearest neighbours (Å) after each atom.
Fractional coordinates of all 29 atoms:
Na 0.6863 0.0020 0.4194  1 Pd 3.07, 4 Tl 3.23-3.36, 1 Na 3.30
Tl 0.3804 0.9953 0.1855  3 Tl 3.18-3.20, 5 Na 3.23-3.50
Tl 0.1615 0.3567 0.9695  6 Na 3.20-3.46, 3 Tl 3.20-3.24
Na 0.9864 0.4047 0.6784  5 Tl 3.22-3.40, 4 Na 3.39-3.61
Na 0.2785 0.5632 0.5725  5 Tl 3.25-3.45, 4 Na 3.47-3.60
Tl 0.6183 0.8139 0.6204  1 Pd 2.85
Na 0.4314 0.6677 0.0276  5 Tl 3.20-3.50, 3 Na 3.32-3.56, 1 Pd 3.58
Pd 0.6926 0.6926 0.3776  3 Tl 2.82-2.85, 4 Na 3.06-3.11
Tl 0.3567 0.1615 0.9695  6 Na 3.20-3.46, 3 Tl 3.20-3.24
Tl 0.1868 0.9902 0.3729  3 Tl 3.18-3.26, 5 Na 3.22-3.50
Tl 0.7840 0.2003 0.8119  3 Tl 3.20-3.30, 6 Na 3.25-3.58
Tl 0.9902 0.1868 0.3729  3 Tl 3.18-3.26, 5 Na 3.22-3.50
Na 0.5632 0.2785 0.5725  5 Tl 3.25-3.45, 4 Na 3.47-3.60
Tl 0.2003 0.7840 0.8119  3 Tl 3.20-3.30, 6 Na 3.25-3.58
Na 0.4048 0.4048 0.3100  1 Pd 3.11, 2 Tl 3.33
Tl 0.9953 0.3804 0.1855  3 Tl 3.18-3.20, 5 Na 3.23-3.50
Tl 0.6240 0.6240 0.8170  3 Tl 3.22-3.30, 7 Na 3.31-3.50
Na 0.0020 0.6863 0.4194  1 Pd 3.07, 4 Tl 3.23-3.36, 1 Na 3.30
Na 0.2971 0.2971 0.7083  5 Tl 3.34-3.42, 7 Na 3.39-3.63
Na 0.6677 0.4314 0.0276  5 Tl 3.20-3.50, 3 Na 3.32-3.56, 1 Pd 3.58
Na 0.4047 0.9864 0.6784  5 Tl 3.22-3.40, 4 Na 3.39-3.61
Na 0.9889 0.9889 0.6511  1 Pd 3.06, 3 Na 3.30-3.39
Na 0.3157 0.7083 0.2981  5 Tl 3.25-3.50, 5 Na 3.32-3.60
Na 0.7083 0.3157 0.2981  5 Tl 3.25-3.50, 5 Na 3.32-3.60
Na 0.6464 0.9914 0.9994  4 Na 3.39-3.61, 6 Tl 3.50-3.72
Na 0.9914 0.6464 0.9994  4 Na 3.39-3.61, 6 Tl 3.50-3.72
Na 0.0133 0.0133 0.0211  12 Tl 3.59-4.00, 4 Na 3.61-3.91
Tl 0.8099 0.8099 0.2034  1 Pd 2.82
Tl 0.8139 0.6183 0.6204  1 Pd 2.85